Material: MgBe2CrI
Method: DFT, PBE
State: relaxed

```
5
Lattice="4.4843 0.0000 0.0000 0.0000 5.2907 0.0000 0.0000 0.0000 4.4843" Properties=species:S:1:pos:R:3 pbc="T T T"
Be 2.2421 0.0000 0.0000
Be 0.0000 0.0000 2.2421
I 0.0000 2.6454 0.0000
Cr 0.0000 0.0000 0.0000
Mg 2.2421 2.6454 2.2421
```

Output
space-group type: P4/mmm (123)
theoretical density: 3.5 g cm⁻³
magnetization: 2.859 μB/cell
E_tot: -15.03 eV/cell
E_form (uncorrected): 1038 meV per atom


Material: BeCr2MoI
Method: DFT, PBE
State: relaxed

```
5
Lattice="-2.6688 -3.2126 -2.3500 2.4388 0.7300 -3.7676 3.0392 -3.4717 1.2947" Properties=species:S:1:pos:R:3 pbc="T T T"
Be 1.2194 0.3650 -1.8838
Cr -1.3344 -1.6063 -1.1750
Cr 1.5196 -1.7359 0.6473
Mo 0.0000 0.0000 0.0000
I 1.4046 -2.9772 -2.4114
```

Output
space-group type: P4/mmm (123)
theoretical density: 5.3 g cm⁻³
magnetization: 5.343 μB/cell
E_tot: -28.71 eV/cell
E_form (uncorrected): 1328 meV per atom


Material: BeCrIN2
Method: DFT, PBE
State: relaxed

```
5
Lattice="3.6609 0.0000 0.0000 0.0000 3.6609 0.0000 0.0000 0.0000 5.6790" Properties=species:S:1:pos:R:3 pbc="T T T"
I 0.0000 0.0000 2.8395
Be 1.8304 1.8304 2.8395
N 1.8304 0.0000 0.0000
N 0.0000 1.8304 0.0000
Cr 0.0000 0.0000 0.0000
```

Output
space-group type: P4/mmm (123)
theoretical density: 4.7 g cm⁻³
magnetization: 0.000 μB/cell
E_tot: -27.51 eV/cell
E_form (uncorrected): 807 meV per atom
energy relative to the lowest polymorph listed for this composition: 0.0 meV/atom


Material: BeCrI2N
Method: DFT, PBE
State: relaxed

```
5
Lattice="5.3760 0.0000 0.0000 0.0000 5.3760 0.0000 0.0000 0.0000 3.2122" Properties=species:S:1:pos:R:3 pbc="T T T"
Cr 2.6880 2.6880 1.6061
Be 0.0000 0.0000 0.0000
N 0.0000 0.0000 1.6061
I 0.0000 2.6880 0.0000
I 2.6880 0.0000 0.0000
```

Output
space-group type: P4/mmm (123)
theoretical density: 5.9 g cm⁻³
magnetization: 1.059 μB/cell
E_tot: -19.78 eV/cell
E_form (uncorrected): 999 meV per atom
energy relative to the lowest polymorph listed for this composition: 410.9 meV/atom


Material: BeCrI2N
Method: DFT, PBE
State: relaxed

```
5
Lattice="5.5158 0.0000 0.0000 0.0000 5.5158 0.0000 0.0000 0.0000 3.6292" Properties=species:S:1:pos:R:3 pbc="T T T"
N 0.0000 0.0000 1.8146
I 2.7579 0.0000 0.0000
I 0.0000 2.7579 0.0000
Cr 0.0000 0.0000 0.0000
Be 2.7579 2.7579 1.8146
```

Output
space-group type: P4/mmm (123)
theoretical density: 4.9 g cm⁻³
magnetization: 1.972 μB/cell
E_tot: -21.83 eV/cell
E_form (uncorrected): 588 meV per atom
energy relative to the lowest polymorph listed for this composition: 0.0 meV/atom


Material: BeCrIN2
Method: DFT, PBE
State: relaxed

```
5
Lattice="-0.9620 -1.9752 2.8633 2.2416 -2.6237 -1.0568 3.8628 2.1735 2.7972" Properties=species:S:1:pos:R:3 pbc="T T T"
Be 0.0000 0.0000 0.0000
N 1.1208 -1.3119 -0.5284
N -0.4810 -0.9876 1.4317
I 1.9314 1.0868 1.3986
Cr 2.5712 -1.2127 2.3019
```

Output
space-group type: P4/mmm (123)
theoretical density: 5.3 g cm⁻³
magnetization: 1.023 μB/cell
E_tot: -23.26 eV/cell
E_form (uncorrected): 1659 meV per atom
energy relative to the lowest polymorph listed for this composition: 851.4 meV/atom


Material: BeCr2PdI
Method: DFT, PBE
State: relaxed

```
5
Lattice="-3.3338 3.7394 -0.4995 -2.1578 -2.4604 -4.0170 -3.1363 -2.3766 3.1404" Properties=species:S:1:pos:R:3 pbc="T T T"
Cr -1.6669 1.8697 -0.2498
Cr -1.5682 -1.1883 1.5702
Pd 0.0000 0.0000 0.0000
Be -4.3140 -0.5488 -0.6880
I -1.0789 -1.2302 -2.0085
```

Output
space-group type: P4/mmm (123)
theoretical density: 4.4 g cm⁻³
magnetization: 8.971 μB/cell
E_tot: -22.84 eV/cell
E_form (uncorrected): 1375 meV per atom


Material: BeCrPt2I
Method: DFT, PBE
State: relaxed

```
5
Lattice="4.2405 0.0000 0.0000 0.0000 5.2372 0.0000 0.0000 0.0000 4.2405" Properties=species:S:1:pos:R:3 pbc="T T T"
I 0.0000 2.6186 0.0000
Be 0.0000 0.0000 0.0000
Pt 0.0000 0.0000 2.1202
Pt 2.1202 0.0000 0.0000
Cr 2.1202 2.6186 2.1202
```

Output
space-group type: P4/mmm (123)
theoretical density: 10.2 g cm⁻³
magnetization: 4.448 μB/cell
E_tot: -24.61 eV/cell
E_form (uncorrected): 475 meV per atom


Material: BeCrSbI2
Method: DFT, PBE
State: relaxed

```
5
Lattice="5.1548 0.0000 0.0000 0.0000 5.1548 0.0000 0.0000 0.0000 5.0067" Properties=species:S:1:pos:R:3 pbc="T T T"
Sb 0.0000 0.0000 2.5034
I 2.5774 0.0000 0.0000
I 0.0000 2.5774 0.0000
Be 0.0000 0.0000 0.0000
Cr 2.5774 2.5774 2.5034
```

Output
space-group type: P4/mmm (123)
theoretical density: 5.4 g cm⁻³
magnetization: 0.254 μB/cell
E_tot: -14.74 eV/cell
E_form (uncorrected): 1166 meV per atom
energy relative to the lowest polymorph listed for this composition: 377.1 meV/atom


Material: BeCrSbI2
Method: DFT, PBE
State: relaxed

```
5
Lattice="-3.0192 -2.6323 -3.7151 2.8791 -4.5571 0.8891 -3.4108 -1.4181 3.7767" Properties=species:S:1:pos:R:3 pbc="T T T"
Cr 0.0000 0.0000 0.0000
Sb -1.7054 -0.7090 1.8883
Be -1.7755 -4.3037 0.4753
I -1.5096 -1.3161 -1.8576
I 1.4395 -2.2786 0.4445
```

Output
space-group type: P4/mmm (123)
theoretical density: 4.6 g cm⁻³
magnetization: 2.816 μB/cell
E_tot: -16.63 eV/cell
E_form (uncorrected): 788 meV per atom
energy relative to the lowest polymorph listed for this composition: 0.0 meV/atom


Material: Be2CrTcI
Method: DFT, PBE
State: relaxed

```
5
Lattice="4.2150 0.0000 0.0000 0.0000 5.1405 0.0000 0.0000 0.0000 4.2150" Properties=species:S:1:pos:R:3 pbc="T T T"
Be 0.0000 0.0000 2.1075
Be 2.1075 0.0000 0.0000
I 0.0000 2.5703 0.0000
Cr 2.1075 2.5703 2.1075
Tc 0.0000 0.0000 0.0000
```

Output
space-group type: P4/mmm (123)
theoretical density: 5.4 g cm⁻³
magnetization: 0.378 μB/cell
E_tot: -21.10 eV/cell
E_form (uncorrected): 1578 meV per atom


Material: BeCrTeI2
Method: DFT, PBE
State: relaxed

```
5
Lattice="-1.9387 5.1733 0.8668 -1.7688 0.1550 -4.8814 -4.8875 -2.1171 1.7038" Properties=species:S:1:pos:R:3 pbc="T T T"
Be -4.2976 1.6056 -1.1554
I -0.9694 2.5867 0.4334
I -2.4438 -1.0586 0.8519
Te -0.8844 0.0775 -2.4407
Cr 0.0000 0.0000 0.0000
```

Output
space-group type: P4/mmm (123)
theoretical density: 4.5 g cm⁻³
magnetization: 2.028 μB/cell
E_tot: -16.25 eV/cell
E_form (uncorrected): 668 meV per atom
energy relative to the lowest polymorph listed for this composition: 143.0 meV/atom